Material: Mg3In
Method: DFT, SCAN
State: PBEsol geometry

Cell and atoms, written as POSCAR:
```
Mg3In
1.0
3.193 0.000 0.000
0.000 3.193 0.000
0.000 0.000 8.874
Mg In
3 1
direct
0.000 0.000 0.000
0.500 0.500 0.252
0.500 0.500 0.748
0.000 0.000 0.500
```

Values from the calculation:
**Total DFT energy (no corrections)**: -12.1581 eV per atom
**Space-group type**: P4/mmm
**Formation enthalpy at 0 K**: -0.0813 eV per atom